Compound: Nd2GePd
Source: Alexandria via LeMat-Bulk
Functional: GGA-PBE
Structure: optimized geometry

Structure (POSCAR):
```
Nd2GePd
1.0
2.1937 1.2665 6.6365
-2.1937 1.2665 6.6365
0.0000 -2.5331 6.6365
Nd Ge Pd
2 1 1
direct
0.2504 0.2504 0.2504 Nd
0.7496 0.7496 0.7496 Nd
0.0000 0.0000 0.0000 Ge
0.5000 0.5000 0.5000 Pd
```

Values from the calculation:
Size of the total moment   0.000 μB per atom
Formation energy from the elements   -630 meV/atom
VASP energy   -5.4668 eV/atom
Space group   R-3m (166)